Entry 1:
Be2SnRh2 PBE optimized geometry; crystal system = tetragonal; formation energy = -0.425 eV/atom
1.0
-3.225 -5.606 -1.492
5.642 -3.428 0.687
-0.589 -0.408 2.806
Sn Rh Be
2 4 4
Cartesian
0.000 0.000 0.000
1.209 -4.517 -0.403
2.227 -6.806 0.973
-1.110 -5.988 0.391
-0.399 -2.637 1.028
2.938 -3.455 1.610
3.746 -5.172 0.035
0.636 -7.065 -0.893
-1.329 -3.862 -0.841
1.782 -1.969 0.088

***

Entry 2:
Sr2PaTl3O6 PBE optimized geometry; crystal system = monoclinic; energy relative to the elements, uncorrected = -2.237 eV/atom
1.0
6.421 0.006 0.015
-3.203 5.564 0.015
-1.058 -1.832 6.444
O Tl Sr Pa
6 3 2 1
Cartesian
2.277 3.943 1.279
0.295 3.719 5.338
3.074 2.114 5.338
-0.118 -0.205 5.195
-0.914 1.625 1.136
1.864 0.020 1.136
-2.174 3.748 3.237
4.333 -0.009 3.237
1.080 1.869 3.237
3.218 1.856 0.015
-0.001 3.715 0.015
0.000 0.000 0.000

***

Across the entries above, total magnetic moment takes the values 0.000 0.000 μB per cell, respectively.